First-principles (GGA-PBE) data for Hf2BeIr after structural relaxation, as listed in OQMD via LeMat-Bulk.

```
Hf2BeIr
1.0
0.000 3.189 3.189
3.189 0.000 3.189
3.189 3.189 0.000
Hf Ir Be
2 1 1
Direct
0.000 0.000 0.000 Hf
0.750 0.750 0.750 Hf
0.250 0.250 0.250 Ir
0.500 0.500 0.500 Be
```

The calculation puts the raw total energy at -8.295 eV/atom. Its space group is F-43m (216).